Computed, not measured: a relaxed ZrMnFeRh crystal at the PBE-GGA level of DFT.

Size of the total moment (μB per atom): 1.1729
Energy (eV per atom): -8.609
N(E_F) (states/eV/cell): 3.6
Formation energy (eV per atom): -0.23

Unit cell a=4.3965 b=4.3965 c=4.3965 alpha=60.00 beta=60.00 gamma=60.00
With the nearest neighbours (Å) after each atom.
Atoms (fractional coordinates):
Zr 0.0000 0.0000 0.0000  4 Fe 2.69, 4 Rh 2.69
Mn 0.5000 0.5000 0.5000  4 Fe 2.69, 4 Rh 2.69
Fe 0.2500 0.2500 0.2500  4 Zr 2.69, 4 Mn 2.69
Rh 0.7500 0.7500 0.7500  4 Zr 2.69, 4 Mn 2.69

Computed, not measured: a relaxed Mn4FeRu crystal at the PBE-GGA level of DFT.

Offset from the most stable computed form (meV/atom): 44
Size of the total moment (μB per atom): 1.2926
Energy (eV per atom): -8.910
N(E_F) (states/eV/cell): 8.6
Formation energy (eV per atom): 0.16

Unit cell a=6.4232 b=6.4232 c=2.8977 alpha=90.00 beta=90.00 gamma=142.96
With the nearest neighbours (Å) after each atom.
Atoms (fractional coordinates):
Mn 0.1642 0.8358 0.0000  6 Mn 2.42-2.51, 2 Fe 2.47
Mn 0.3237 0.6763 0.5000  6 Mn 2.42-2.51, 2 Ru 2.59
Mn 0.6763 0.3237 0.5000  6 Mn 2.42-2.51, 2 Ru 2.59
Mn 0.8358 0.1642 0.0000  6 Mn 2.42-2.51, 2 Fe 2.47
Fe 0.0000 0.0000 0.5000  4 Mn 2.47, 4 Ru 2.50
Ru 0.5000 0.5000 0.0000  4 Fe 2.50, 4 Mn 2.59

Computed, not measured: a relaxed Mn4Fe3Ru crystal at the PBE-GGA level of DFT.

Size of the total moment (μB per atom): 1.5559
Energy (eV per atom): -8.784
N(E_F) (states/eV/cell): 11.9
Formation energy (eV per atom): 0.13

Unit cell a=4.0233 b=4.0233 c=5.7954 alpha=90.00 beta=90.00 gamma=90.00
With the nearest neighbours (Å) after each atom.
Atoms (fractional coordinates):
Mn 0.0000 0.5000 0.2408  6 Fe 2.45-2.51, 2 Ru 2.51
Mn 0.0000 0.5000 0.7592  6 Fe 2.45-2.51, 2 Ru 2.51
Mn 0.5000 0.0000 0.2408  6 Fe 2.45-2.51, 2 Ru 2.51
Mn 0.5000 0.0000 0.7592  6 Fe 2.45-2.51, 2 Ru 2.51
Fe 0.0000 0.0000 0.0000  8 Mn 2.45
Fe 0.0000 0.0000 0.5000  8 Mn 2.51
Fe 0.5000 0.5000 0.0000  8 Mn 2.45
Ru 0.5000 0.5000 0.5000  8 Mn 2.51

Computed, not measured: a relaxed MnFeRu crystal at the PBE-GGA level of DFT.

Offset from the most stable computed form (meV/atom): 24
Size of the total moment (μB per atom): 0.1601
Energy (eV per atom): -8.842
N(E_F) (states/eV/cell): 4.5
Formation energy (eV per atom): 0.13

Unit cell a=5.7057 b=5.7057 c=5.7057 alpha=153.64 beta=153.64 gamma=37.62
With the nearest neighbours (Å) after each atom.
Atoms (fractional coordinates):
Mn 0.0000 0.0000 0.0000  4 Fe 2.50, 4 Ru 2.58, 4 Mn 2.60
Fe 0.3432 0.3432 0.0000  4 Mn 2.50, 4 Fe 2.60, 4 Ru 2.64
Ru 0.6679 0.6679 0.0000  4 Mn 2.58, 4 Ru 2.60, 4 Fe 2.64

Computed, not measured: a relaxed Mn7Fe3Ru crystal at the PBE-GGA level of DFT.

Size of the total moment (μB per atom): 0.0528
Energy (eV per atom): -8.808
N(E_F) (states/eV/cell): 13.1
Formation energy (eV per atom): 0.18

Unit cell a=4.4844 b=4.7339 c=6.3974 alpha=98.90 beta=94.58 gamma=93.57
With the nearest neighbours (Å) after each atom.
Atoms (fractional coordinates):
Mn 0.0000 0.0000 0.0000  2 Ru 2.37, 2 Fe 2.49, 4 Mn 2.51-2.61
Mn 0.0107 0.1711 0.6483  5 Mn 2.29-2.51, 1 Fe 2.45, 1 Ru 2.54
Mn 0.2491 0.3982 0.3674  4 Fe 2.32-2.56, 2 Mn 2.42-2.51
Mn 0.4901 0.2276 0.8808  4 Mn 2.49-2.78, 3 Fe 2.51-2.56, 2 Ru 2.55-2.72
Mn 0.5099 0.7724 0.1192  4 Mn 2.49-2.78, 3 Fe 2.51-2.56, 2 Ru 2.55-2.72
Mn 0.7509 0.6018 0.6326  4 Fe 2.32-2.56, 2 Mn 2.42-2.51
Mn 0.9893 0.8289 0.3517  5 Mn 2.29-2.51, 1 Fe 2.45, 1 Ru 2.54
Fe 0.2822 0.7135 0.7337  6 Mn 2.32-2.56, 1 Fe 2.39, 1 Ru 2.50
Fe 0.5000 0.0000 0.5000  2 Fe 2.39, 8 Mn 2.45-2.59
Fe 0.7178 0.2865 0.2663  6 Mn 2.32-2.56, 1 Fe 2.39, 1 Ru 2.50
Ru 0.0000 0.5000 0.0000  8 Mn 2.37-2.65, 2 Fe 2.50

Computed, not measured: a relaxed MnFe2Ru crystal at the PBE-GGA level of DFT.

Size of the total moment (μB per atom): 1.6767
Energy (eV per atom): -8.620
N(E_F) (states/eV/cell): 5.0
Formation energy (eV per atom): 0.22

Unit cell a=2.5427 b=2.5427 c=8.2653 alpha=90.00 beta=90.00 gamma=112.41
With the nearest neighbours (Å) after each atom.
Atoms (fractional coordinates):
Mn 0.0000 0.0000 0.0000  4 Fe 2.44, 4 Mn 2.54
Fe 0.5000 0.5000 0.2401  2 Mn 2.44, 4 Fe 2.54, 2 Ru 2.57
Fe 0.5000 0.5000 0.7599  2 Mn 2.44, 4 Fe 2.54, 2 Ru 2.57
Ru 0.0000 0.0000 0.5000  6 Ru 2.54-2.83, 4 Fe 2.57

Computed, not measured: a relaxed MnFe2Ru crystal at the PBE-GGA level of DFT.

Size of the total moment (μB per atom): 1.7524
Energy (eV per atom): -8.685
N(E_F) (states/eV/cell): 4.3
Formation energy (eV per atom): 0.16

Unit cell a=4.1110 b=4.1110 c=4.1110 alpha=60.00 beta=60.00 gamma=60.00
With the nearest neighbours (Å) after each atom.
Atoms (fractional coordinates):
Mn 0.0000 0.0000 0.0000  8 Fe 2.52
Fe 0.2500 0.2500 0.2500  4 Mn 2.52, 4 Ru 2.52
Fe 0.7500 0.7500 0.7500  4 Mn 2.52, 4 Ru 2.52
Ru 0.5000 0.5000 0.5000  8 Fe 2.52

Computed, not measured: a relaxed Mn4FeRu crystal at the PBE-GGA level of DFT.

Offset from the most stable computed form (meV/atom): 0
Size of the total moment (μB per atom): 0.3745
Energy (eV per atom): -8.954
N(E_F) (states/eV/cell): 5.5
Formation energy (eV per atom): 0.12

Unit cell a=4.6156 b=4.6156 c=4.6156 alpha=60.00 beta=60.00 gamma=60.00
With the nearest neighbours (Å) after each atom.
Atoms (fractional coordinates):
Mn 0.1241 0.1241 0.1241  6 Mn 2.29-2.32
Mn 0.1241 0.1241 0.6276  6 Mn 2.29-2.32
Mn 0.1241 0.6276 0.1241  6 Mn 2.29-2.32
Mn 0.6276 0.1241 0.1241  6 Mn 2.29-2.32
Fe 0.7500 0.7500 0.7500  12 Mn 2.70, 4 Ru 2.83
Ru 0.5000 0.5000 0.5000  12 Mn 2.71, 4 Fe 2.83

Computed, not measured: a relaxed MnFeRu2 crystal at the PBE-GGA level of DFT.

Size of the total moment (μB per atom): 0.5846
Energy (eV per atom): -8.888
N(E_F) (states/eV/cell): 5.2
Formation energy (eV per atom): 0.16

Unit cell a=2.6300 b=2.6300 c=7.2507 alpha=90.00 beta=90.00 gamma=90.00
With the nearest neighbours (Å) after each atom.
Atoms (fractional coordinates):
Mn 0.0000 0.0000 0.0000  4 Fe 2.53, 4 Ru 2.56, 4 Mn 2.63
Fe 0.5000 0.5000 0.7638  4 Mn 2.53, 4 Ru 2.56, 4 Fe 2.63
Ru 0.0000 0.0000 0.5210  4 Fe 2.56, 8 Ru 2.63-2.74
Ru 0.5000 0.5000 0.2435  4 Mn 2.56, 8 Ru 2.63-2.74

Computed, not measured: a relaxed MnFe2Ru crystal at the PBE-GGA level of DFT.

Size of the total moment (μB per atom): 0.4537
Energy (eV per atom): -8.717
N(E_F) (states/eV/cell): 4.5
Formation energy (eV per atom): 0.13

Unit cell a=2.5772 b=2.5772 c=7.2347 alpha=90.00 beta=90.00 gamma=90.00
With the nearest neighbours (Å) after each atom.
Atoms (fractional coordinates):
Mn 0.0000 0.0000 0.0000  4 Fe 2.50, 4 Mn 2.58, 4 Ru 2.65
Fe 0.0000 0.0000 0.5183  8 Fe 2.55-2.58, 4 Ru 2.58
Fe 0.5000 0.5000 0.7643  4 Mn 2.50, 8 Fe 2.55-2.58
Ru 0.5000 0.5000 0.2653  4 Ru 2.58, 4 Fe 2.58, 4 Mn 2.65

Computed, not measured: a relaxed MnFe3Ru crystal at the PBE-GGA level of DFT.

Offset from the most stable computed form (meV/atom): 221
Size of the total moment (μB per atom): 2.6325
Energy (eV per atom): -7.306
N(E_F) (states/eV/cell): 6.5
Formation energy (eV per atom): 1.46

Unit cell a=4.5305 b=4.5305 c=4.5305 alpha=90.00 beta=90.00 gamma=90.00
With the nearest neighbours (Å) after each atom.
Atoms (fractional coordinates):
Mn 0.0000 0.0000 0.0000  12 Fe 3.20
Fe 0.0000 0.5000 0.5000  2 Ru 2.27
Fe 0.5000 0.0000 0.5000  2 Ru 2.27
Fe 0.5000 0.5000 0.0000  2 Ru 2.27
Ru 0.5000 0.5000 0.5000  6 Fe 2.27

Computed, not measured: a relaxed MnFe2Ru crystal at the PBE-GGA level of DFT.

Size of the total moment (μB per atom): 0.4078
Energy (eV per atom): -8.655
N(E_F) (states/eV/cell): 5.1
Formation energy (eV per atom): 0.19

Unit cell a=8.4456 b=8.4456 c=8.4456 alpha=17.59 beta=17.59 gamma=17.59
With the nearest neighbours (Å) after each atom.
Atoms (fractional coordinates):
Mn 0.0000 0.0000 0.0000  6 Fe 2.50, 6 Mn 2.58
Fe 0.2528 0.2528 0.2528  3 Mn 2.50, 6 Fe 2.58, 3 Ru 2.62
Fe 0.7472 0.7472 0.7472  3 Mn 2.50, 6 Fe 2.58, 3 Ru 2.62
Ru 0.5000 0.5000 0.5000  6 Ru 2.58, 6 Fe 2.62

Computed, not measured: a relaxed Mn4FeRu2 crystal at the PBE-GGA level of DFT.

Size of the total moment (μB per atom): 0.2588
Energy (eV per atom): -8.998
N(E_F) (states/eV/cell): 16.3
Formation energy (eV per atom): 0.10

Unit cell a=4.6333 b=6.5863 c=6.6019 alpha=61.54 beta=82.25 gamma=83.03
With the nearest neighbours (Å) after each atom.
Atoms (fractional coordinates):
Mn 0.0000 0.0000 0.0000  3 Ru 2.43-2.54, 3 Fe 2.46-2.64, 3 Mn 2.58-2.66
Mn 0.0168 0.7014 0.4317  4 Ru 2.44-2.59, 1 Fe 2.56, 2 Mn 2.57-2.58
Mn 0.2219 0.3860 0.9009  3 Mn 2.32-2.51
Mn 0.4144 0.2797 0.2789  5 Ru 2.40-2.65, 1 Fe 2.42, 3 Mn 2.51-2.67
Mn 0.4459 0.8388 0.5911  3 Fe 2.44-2.63, 3 Mn 2.50-2.71, 2 Ru 2.54-2.56
Mn 0.5574 0.1004 0.7423  2 Fe 2.44-2.55, 4 Ru 2.46-2.57, 2 Mn 2.50-2.66
Mn 0.7242 0.4292 0.8677  2 Mn 2.32-2.35, 1 Fe 2.52
Mn 0.8987 0.5429 0.1656  1 Fe 2.37, 5 Ru 2.42-2.65, 2 Mn 2.57-2.65
Fe 0.4934 0.9689 0.1755  5 Mn 2.42-2.64, 3 Ru 2.54-2.70
Fe 0.9399 0.8039 0.7643  7 Mn 2.37-2.63, 1 Ru 2.65
Ru 0.0588 0.2671 0.5881  6 Mn 2.42-2.65, 1 Ru 2.61
Ru 0.3908 0.6943 0.0278  7 Mn 2.42-2.69, 2 Fe 2.54-2.71
Ru 0.5343 0.5183 0.4753  7 Mn 2.42-2.62, 1 Fe 2.67
Ru 0.9065 0.1105 0.3243  5 Mn 2.40-2.65, 1 Ru 2.61, 1 Fe 2.65